# 1
The following is a PBEsol calculation of a relaxed structure of CaV3O7, from the Alexandria database.

a = 10.5844 Å, b = 10.2481 Å, c = 5.2580 Å
α = 90.00°, β = 90.00°, γ = 90.00°
Element x y z (fractional)
Ca 0.0806 0.2500 0.1865
Ca 0.4194 0.7500 0.6865
Ca 0.5806 0.2500 0.3135
Ca 0.9194 0.7500 0.8135
V 0.1875 0.5232 0.7046
V 0.1875 0.9768 0.7046
V 0.2122 0.7500 0.1954
V 0.2878 0.2500 0.6954
V 0.3125 0.0232 0.2046
V 0.3125 0.4768 0.2046
V 0.6875 0.5232 0.7954
V 0.6875 0.9768 0.7954
V 0.7122 0.7500 0.3046
V 0.7878 0.2500 0.8046
V 0.8125 0.0232 0.2954
V 0.8125 0.4768 0.2954
O 0.0415 0.5715 0.7245
O 0.0415 0.9285 0.7245
O 0.0585 0.7500 0.1818
O 0.2188 0.1189 0.4642
O 0.2188 0.3811 0.4642
O 0.2249 0.1194 0.9370
O 0.2249 0.3806 0.9370
O 0.2751 0.6194 0.4370
O 0.2751 0.8806 0.4370
O 0.2812 0.6189 0.9642
O 0.2812 0.8811 0.9642
O 0.4415 0.2500 0.6818
O 0.4585 0.0715 0.2245
O 0.4585 0.4285 0.2245
O 0.5415 0.5715 0.7755
O 0.5415 0.9285 0.7755
O 0.5585 0.7500 0.3182
O 0.7188 0.1189 0.0358
O 0.7188 0.3811 0.0358
O 0.7249 0.1194 0.5630
O 0.7249 0.3806 0.5630
O 0.7751 0.6194 0.0630
O 0.7751 0.8806 0.0630
O 0.7812 0.6189 0.5358
O 0.7812 0.8811 0.5358
O 0.9415 0.2500 0.8182
O 0.9585 0.0715 0.2755
O 0.9585 0.4285 0.2755

Summary:
VASP energy in eV per cell: -382.1

---

# 2
The following is a PBEsol calculation of a relaxed structure of Ca10V6O25, from the Alexandria database.

a = 9.7893 Å, b = 9.7893 Å, c = 6.7228 Å
α = 90.00°, β = 90.00°, γ = 120.00°
Element x y z (fractional)
Ca 0.0152 0.7730 0.2283
Ca 0.2270 0.2421 0.2283
Ca 0.2421 0.0152 0.7717
Ca 0.3333 0.6667 0.0174
Ca 0.3333 0.6667 0.5208
Ca 0.6667 0.3333 0.4792
Ca 0.6667 0.3333 0.9826
Ca 0.7579 0.9848 0.2283
Ca 0.7730 0.7579 0.7717
Ca 0.9848 0.2270 0.7717
V 0.0279 0.4032 0.2594
V 0.3752 0.9721 0.2594
V 0.4032 0.3752 0.7406
V 0.5968 0.6248 0.2594
V 0.6248 0.0279 0.7406
V 0.9721 0.5968 0.7406
O 0.0000 0.0000 0.0000
O 0.0682 0.3054 0.4396
O 0.1038 0.3664 0.0505
O 0.1317 0.6063 0.2874
O 0.1685 0.6693 0.7623
O 0.2372 0.9318 0.4396
O 0.2627 0.8962 0.0505
O 0.3054 0.2372 0.5604
O 0.3307 0.4993 0.7623
O 0.3664 0.2627 0.9495
O 0.3937 0.5254 0.2874
O 0.4746 0.8683 0.2874
O 0.4993 0.1685 0.2377
O 0.5007 0.8315 0.7623
O 0.5254 0.1317 0.7126
O 0.6063 0.4746 0.7126
O 0.6336 0.7373 0.0505
O 0.6693 0.5007 0.2377
O 0.6946 0.7628 0.4396
O 0.7373 0.1038 0.9495
O 0.7628 0.0682 0.5604
O 0.8315 0.3307 0.2377
O 0.8683 0.3937 0.7126
O 0.8962 0.6336 0.9495
O 0.9318 0.6946 0.5604

Summary:
D(E_F) in states/eV/cell: 0.0
Polymorph energy (0 for the lowest one) in kJ/mol of atoms: 2.3
VASP energy in eV per cell: -326.9

---

# 3
The following is a PBEsol calculation of a relaxed structure of CaV4O6, from the Alexandria database.

a = 4.8823 Å, b = 4.8823 Å, c = 14.4321 Å
α = 90.00°, β = 90.00°, γ = 142.52°
Element x y z (fractional)
Ca 0.1430 0.8570 0.7500
Ca 0.8570 0.1430 0.2500
V 0.1121 0.8879 0.1222
V 0.1121 0.8879 0.3778
V 0.3463 0.6537 0.0386
V 0.3463 0.6537 0.4614
V 0.6537 0.3463 0.5386
V 0.6537 0.3463 0.9614
V 0.8879 0.1121 0.6222
V 0.8879 0.1121 0.8778
O 0.0000 0.0000 0.0000
O 0.0000 0.0000 0.5000
O 0.1727 0.8273 0.2500
O 0.2505 0.7495 0.5919
O 0.2505 0.7495 0.9081
O 0.4752 0.5248 0.1486
O 0.4752 0.5248 0.3514
O 0.5248 0.4752 0.6486
O 0.5248 0.4752 0.8514
O 0.7495 0.2505 0.0919
O 0.7495 0.2505 0.4081
O 0.8273 0.1727 0.7500

Summary:
D(E_F) in states/eV/cell: 6.8
VASP energy in eV per cell: -194.5

---

# 4
The following is a PBEsol calculation of a relaxed structure of CaV2O6, from the Alexandria database.

a = 5.4690 Å, b = 5.4690 Å, c = 7.1609 Å
α = 101.93°, β = 101.93°, γ = 38.65°
Element x y z (fractional)
Ca 0.0000 0.0000 0.0000
V 0.2421 0.2421 0.6736
V 0.7579 0.7579 0.3264
O 0.1016 0.1016 0.7424
O 0.2431 0.2431 0.3966
O 0.3675 0.3675 0.8685
O 0.6325 0.6325 0.1315
O 0.7569 0.7569 0.6034
O 0.8984 0.8984 0.2576

Summary:
D(E_F) in states/eV/cell: 0.0
VASP energy in eV per cell: -76.3

---

# 5
The following is a PBEsol calculation of a relaxed structure of Ca3V2O7, from the Alexandria database.

a = 10.0255 Å, b = 10.0255 Å, c = 5.2599 Å
α = 90.00°, β = 90.00°, γ = 30.58°
Element x y z (fractional)
Ca 0.0496 0.5763 0.4614
Ca 0.2452 0.7548 0.5000
Ca 0.4237 0.9504 0.4614
Ca 0.5763 0.0496 0.9614
Ca 0.7548 0.2452 0.0000
Ca 0.9504 0.4237 0.9614
V 0.1557 0.6494 0.9772
V 0.3506 0.8443 0.9772
V 0.6494 0.1557 0.4772
V 0.8443 0.3506 0.4772
O 0.0112 0.5940 0.9855
O 0.0600 0.1173 0.7567
O 0.1173 0.0600 0.2567
O 0.2937 0.7063 0.9727
O 0.3653 0.4244 0.6981
O 0.4060 0.9888 0.9855
O 0.4244 0.3653 0.1981
O 0.5756 0.6347 0.6981
O 0.5940 0.0112 0.4855
O 0.6347 0.5756 0.1981
O 0.7063 0.2937 0.4727
O 0.8827 0.9400 0.7567
O 0.9400 0.8827 0.2567
O 0.9888 0.4060 0.4855

Summary:
D(E_F) in states/eV/cell: 7.2
VASP energy in eV per cell: -192.9

---

# 6
The following is a PBEsol calculation of a relaxed structure of Ca5V3O12, from the Alexandria database.

a = 6.7126 Å, b = 15.9598 Å, c = 10.3107 Å
α = 90.00°, β = 90.00°, γ = 90.00°
Element x y z (fractional)
Ca 0.0427 0.2500 0.1827
Ca 0.1238 0.5927 0.5671
Ca 0.1238 0.9073 0.5671
Ca 0.1858 0.6068 0.1706
Ca 0.1858 0.8932 0.1706
Ca 0.3142 0.1068 0.6706
Ca 0.3142 0.3932 0.6706
Ca 0.3762 0.0927 0.0671
Ca 0.3762 0.4073 0.0671
Ca 0.4573 0.7500 0.6827
Ca 0.5427 0.2500 0.3173
Ca 0.6238 0.5927 0.9329
Ca 0.6238 0.9073 0.9329
Ca 0.6858 0.6068 0.3294
Ca 0.6858 0.8932 0.3294
Ca 0.8142 0.1068 0.8294
Ca 0.8142 0.3932 0.8294
Ca 0.8762 0.0927 0.4329
Ca 0.8762 0.4073 0.4329
Ca 0.9573 0.7500 0.8173
V 0.0291 0.2500 0.5766
V 0.1376 0.5721 0.8720
V 0.1376 0.9279 0.8720
V 0.3624 0.0721 0.3720
V 0.3624 0.4279 0.3720
V 0.4709 0.7500 0.0766
V 0.5291 0.2500 0.9234
V 0.6376 0.5721 0.6280
V 0.6376 0.9279 0.6280
V 0.8624 0.0721 0.1280
V 0.8624 0.4279 0.1280
V 0.9709 0.7500 0.4234
O 0.0439 0.1214 0.0356
O 0.0439 0.3786 0.0356
O 0.0486 0.6565 0.3566
O 0.0486 0.8435 0.3566
O 0.0545 0.7500 0.5813
O 0.0691 0.0088 0.7681
O 0.0691 0.4912 0.7681
O 0.1889 0.0396 0.4876
O 0.1889 0.4604 0.4876
O 0.2186 0.7500 0.0925
O 0.2265 0.6516 0.7715
O 0.2265 0.8484 0.7715
O 0.2735 0.1516 0.2715
O 0.2735 0.3484 0.2715
O 0.2814 0.2500 0.5925
O 0.3111 0.5396 0.9876
O 0.3111 0.9604 0.9876
O 0.4309 0.5088 0.2681
O 0.4309 0.9912 0.2681
O 0.4455 0.2500 0.0813
O 0.4514 0.1565 0.8566
O 0.4514 0.3435 0.8566
O 0.4561 0.6214 0.5356
O 0.4561 0.8786 0.5356
O 0.5439 0.1214 0.4644
O 0.5439 0.3786 0.4644
O 0.5486 0.6565 0.1434
O 0.5486 0.8435 0.1434
O 0.5545 0.7500 0.9187
O 0.5691 0.0088 0.7319
O 0.5691 0.4912 0.7319
O 0.6889 0.0396 0.0124
O 0.6889 0.4604 0.0124
O 0.7186 0.7500 0.4075
O 0.7265 0.6516 0.7285
O 0.7265 0.8484 0.7285
O 0.7735 0.1516 0.2285
O 0.7735 0.3484 0.2285
O 0.7814 0.2500 0.9075
O 0.8111 0.5396 0.5124
O 0.8111 0.9604 0.5124
O 0.9309 0.5088 0.2319
O 0.9309 0.9912 0.2319
O 0.9455 0.2500 0.4187
O 0.9514 0.1565 0.6434
O 0.9514 0.3435 0.6434
O 0.9561 0.6214 0.9644
O 0.9561 0.8786 0.9644

Summary:
D(E_F) in states/eV/cell: 29.0
VASP energy in eV per cell: -639.3

---

Among the records above, which one has the lowest VASP energy?
Ca5V3O12

---

Number 2 is which compound?
Ca10V6O25